Entry 1:
Material: NiSe2Cl
Method: DFT, PBE
State: optimized geometry

a = 6.552 Å, b = 6.552 Å, c = 8.731 Å
α = 121.50°, β = 121.50°, γ = 32.10°
Atoms (fractional coordinates):
Cl (0.414, 0.414, 0.221)
Cl (0.586, 0.586, 0.779)
Ni (0.621, 0.621, 0.316)
Ni (0.379, 0.379, 0.684)
Se (0.109, 0.109, 0.119)
Se (0.842, 0.842, 0.482)
Se (0.158, 0.158, 0.518)
Se (0.891, 0.891, 0.881)

Summary:
Space-group type ... C2/m (12)
Raw total energy ... -31.3 eV per cell

***

Entry 2:
Material: NiSe8Cl2
Method: DFT, PBE
State: optimized geometry

a = 9.911 Å, b = 9.911 Å, c = 9.911 Å
α = 34.75°, β = 34.75°, γ = 34.75°
Atoms (fractional coordinates):
Cl (0.183, 0.183, 0.183)
Cl (0.817, 0.817, 0.817)
Ni (0.000, 0.000, 0.000)
Se (0.404, 0.676, 0.039)
Se (0.101, 0.101, 0.101)
Se (0.961, 0.596, 0.324)
Se (0.676, 0.039, 0.404)
Se (0.324, 0.961, 0.596)
Se (0.039, 0.404, 0.676)
Se (0.899, 0.899, 0.899)
Se (0.596, 0.324, 0.961)

Summary:
Space-group type ... R-3 (148)
Raw total energy ... -35.5 eV per cell

***

Entry 3:
Material: NiSe6Cl2
Method: DFT, PBE
State: optimized geometry

a = 4.634 Å, b = 7.742 Å, c = 8.056 Å
α = 64.40°, β = 81.14°, γ = 81.71°
Atoms (fractional coordinates):
Cl (0.667, 0.122, 0.149)
Cl (0.333, 0.878, 0.851)
Ni (0.000, 0.000, 0.000)
Se (0.954, 0.486, 0.242)
Se (0.160, 0.749, 0.262)
Se (0.164, 0.223, 0.483)
Se (0.836, 0.777, 0.517)
Se (0.840, 0.251, 0.738)
Se (0.046, 0.514, 0.758)

Summary:
Space-group type ... P-1 (2)
Raw total energy ... -31.8 eV per cell

***

Entry 4:
Material: Ni2WCl2
Method: DFT, PBE
State: optimized geometry

a = 6.025 Å, b = 9.647 Å, c = 3.041 Å
α = 90.00°, β = 90.00°, γ = 90.00°
Atoms (fractional coordinates):
Cl (0.671, 0.137, 0.000)
Cl (0.171, 0.363, 0.000)
Cl (0.829, 0.637, 0.000)
Cl (0.329, 0.863, 0.000)
Ni (0.164, 0.169, 0.500)
Ni (0.664, 0.331, 0.500)
Ni (0.336, 0.669, 0.500)
Ni (0.836, 0.831, 0.500)
W (0.000, 0.000, 0.000)
W (0.500, 0.500, 0.000)

Summary:
Space-group type ... Pbam (55)
Raw total energy ... -52.4 eV per cell

***

Entry 5:
Material: Np2Cl13
Method: DFT, PBE
State: optimized geometry

a = 6.934 Å, b = 8.293 Å, c = 9.783 Å
α = 70.67°, β = 79.47°, γ = 72.21°
Last column: magnetic moment on the atom in μB.
Atoms (fractional coordinates):
Cl (0.413, 0.537, 0.079)  -0.01
Cl (0.503, 0.027, 0.186)  -0.08
Cl (0.830, 0.611, 0.200)  -0.08
Cl (0.866, 0.130, 0.320)  -0.08
Cl (0.193, 0.713, 0.334)  -0.07
Cl (0.294, 0.243, 0.476)  -0.07
Cl (0.700, 0.748, 0.516)  -0.07
Cl (0.802, 0.279, 0.660)  -0.07
Cl (0.128, 0.861, 0.676)  -0.08
Cl (0.167, 0.383, 0.791)  -0.08
Cl (0.494, 0.966, 0.806)  -0.08
Cl (0.583, 0.455, 0.914)  -0.01
Cl (0.999, 0.998, 0.997)  -0.05
Np (0.843, 0.867, 0.267)  1.97
Np (0.153, 0.125, 0.727)  1.96

Summary:
Space-group type ... P1 (1)
Raw total energy ... -67.3 eV per cell

***

Entry 6:
Material: Np3Cl2
Method: DFT, PBE
State: optimized geometry

a = 6.910 Å, b = 6.910 Å, c = 7.107 Å
α = 119.09°, β = 60.91°, γ = 120.00°
Last column: magnetic moment on the atom in μB.
Atoms (fractional coordinates):
Cl (0.666, 0.334, 0.001)  -0.06
Cl (0.834, 0.166, 0.499)  -0.06
Cl (0.166, 0.834, 0.501)  -0.06
Cl (0.334, 0.666, 0.999)  -0.06
Np (0.597, 0.750, 0.250)  4.17
Np (0.903, 0.403, 0.250)  4.13
Np (0.250, 0.097, 0.250)  4.13
Np (0.750, 0.903, 0.750)  4.13
Np (0.097, 0.597, 0.750)  4.13
Np (0.403, 0.250, 0.750)  4.17

Summary:
Space-group type ... R-3c (167)
Raw total energy ... -85.4 eV per cell

***

Entry 7:
Material: NpCl2
Method: DFT, PBE
State: optimized geometry

a = 7.057 Å, b = 7.057 Å, c = 3.465 Å
α = 90.00°, β = 90.00°, γ = 90.00°
Last column: magnetic moment on the atom in μB.
Atoms (fractional coordinates):
Cl (0.278, 0.278, 0.000)  -0.04
Cl (0.722, 0.722, 0.000)  -0.04
Cl (0.778, 0.222, 0.500)  -0.04
Cl (0.222, 0.778, 0.500)  -0.04
Np (0.000, 0.000, 0.000)  4.51
Np (0.500, 0.500, 0.500)  4.57

Summary:
Space-group type ... P4_2/mnm (136)
Raw total energy ... -41.2 eV per cell

***

Entry 8:
Material: NpCl4
Method: DFT, PBE
State: optimized geometry

a = 6.782 Å, b = 6.782 Å, c = 10.857 Å
α = 113.89°, β = 113.89°, γ = 48.11°
Last column: magnetic moment on the atom in μB.
Atoms (fractional coordinates):
Cl (0.355, 0.382, 0.053)  -0.06
Cl (0.132, 0.131, 0.187)  -0.06
Cl (0.869, 0.868, 0.313)  -0.06
Cl (0.618, 0.645, 0.447)  -0.06
Cl (0.382, 0.355, 0.553)  -0.06
Cl (0.131, 0.132, 0.687)  -0.06
Cl (0.868, 0.869, 0.813)  -0.06
Cl (0.645, 0.618, 0.947)  -0.06
Np (0.742, 0.258, 0.250)  3.12
Np (0.258, 0.742, 0.750)  3.12

Summary:
Space-group type ... C2/c (15)
Raw total energy ... -54.3 eV per cell